(1)
A plane-wave DFT calculation with PBE was carried out for a geometry-optimized ZnAu2Cl structure.

abc: 5.7682 8.9460 3.0506
angles: 90.00 90.00 90.00
Space group Cmmm (No. 65)
One atom of each set of equivalent atoms:
Zn (0.0000, 0.0000, 0.0000) x2
Au (0.0000, 0.2349, 0.5000) x4
Cl (0.0000, 0.5000, 0.0000) x2

Formation energy (no corrections)   -0.08 eV/atom
E   -2.5022 eV per atom

(2)
A plane-wave DFT calculation with PBE was carried out for a geometry-optimized Zn2AuCl structure.

abc: 3.6660 3.6660 12.3783
angles: 90.00 90.00 90.00
Space group I-4m2 (No. 119)
One atom of each set of equivalent atoms:
Zn (0.0000, 0.0000, 0.0000) x2
Zn (0.0000, 0.5000, 0.2500) x2
Au (0.0000, 0.5000, 0.7500) x2
Cl (0.0000, 0.0000, 0.5000) x2

Formation energy (no corrections)   -0.07 eV/atom
E   -1.9918 eV per atom

(3)
A plane-wave DFT calculation with PBE was carried out for a geometry-optimized Zn2AuCl structure.

abc: 3.0592 3.0592 8.3539
angles: 90.00 90.00 90.00
Space group P4mm (No. 99)
One atom of each set of equivalent atoms:
Zn (0.0000, 0.0000, 0.0000) x1
Zn (0.5000, 0.5000, 0.2287) x1
Au (0.0000, 0.0000, 0.4249) x1
Cl (0.5000, 0.5000, 0.8185) x1

Formation energy (no corrections)   -0.09 eV/atom
E   -2.0088 eV per atom

(4)
A plane-wave DFT calculation with PBE was carried out for a geometry-optimized ZnAu2Cl structure.

abc: 3.4032 5.1239 9.1901
angles: 90.00 90.00 90.00
Space group Cmm2 (No. 35)
One atom of each set of equivalent atoms:
Zn (0.0000, 0.0000, 0.0000) x2
Au (0.0000, 0.0000, 0.4624) x2
Au (0.0000, 0.5000, 0.2149) x2
Cl (0.0000, 0.5000, 0.8222) x2

Formation energy (no corrections)   -0.09 eV/atom
E   -2.5098 eV per atom

(5)
A plane-wave DFT calculation with PBE was carried out for a geometry-optimized ZnAu2Cl structure.

abc: 3.0253 3.0253 8.7276
angles: 90.00 90.00 90.00
Space group P4mm (No. 99)
One atom of each set of equivalent atoms:
Zn (0.0000, 0.0000, 0.0000) x1
Au (0.0000, 0.0000, 0.4394) x1
Au (0.5000, 0.5000, 0.2067) x1
Cl (0.5000, 0.5000, 0.8244) x1

Formation energy (no corrections)   -0.08 eV/atom
E   -2.5010 eV per atom

(6)
A plane-wave DFT calculation with PBE was carried out for a geometry-optimized Zn2AuCl structure.

abc: 4.2637 5.3066 4.3714
angles: 90.00 112.87 90.00
Space group Pm (No. 6)
One atom of each set of equivalent atoms:
Zn (0.0000, 0.0000, 0.0000) x1
Zn (0.3578, 0.5000, 0.6176) x1
Au (0.3531, 0.0000, 0.6344) x1
Cl (0.7140, 0.5000, 0.2592) x1

Formation energy (no corrections)   -0.14 eV/atom
E   -2.0551 eV per atom

(7)
A plane-wave DFT calculation with PBE was carried out for a geometry-optimized Zn2Au2Cl structure.

abc: 7.7261 7.7261 3.0891
angles: 90.00 90.00 90.00
Space group P4/mbm (No. 127)
One atom of each set of equivalent atoms:
Zn (0.1745, 0.3255, 0.0000) x4
Au (0.1278, 0.6278, 0.5000) x4
Cl (0.0000, 0.0000, 0.0000) x2

Formation energy (no corrections)   -0.14 eV/atom
E   -2.3275 eV per atom

(8)
A plane-wave DFT calculation with PBE was carried out for a geometry-optimized ZnAu2Cl structure.

abc: 3.2122 3.2122 27.6222
angles: 90.00 90.00 120.00
Space group R3m (No. 160, hexagonal axes)
One atom of each set of equivalent atoms:
Zn (0.0000, 0.0000, 0.0000) x3
Au (0.0000, 0.0000, 0.4829) x3
Au (0.0000, 0.0000, 0.7360) x3
Cl (0.0000, 0.0000, 0.2766) x3

Formation energy (no corrections)   -0.20 eV/atom
E   -2.6140 eV per atom

(9)
A plane-wave DFT calculation with PBE was carried out for a geometry-optimized Zn2AuCl structure.

abc: 3.1615 3.3462 7.1356
angles: 90.00 90.00 90.00
Space group Pmmm (No. 47)
One atom of each set of equivalent atoms:
Zn (0.0000, 0.0000, 0.2088) x2
Au (0.5000, 0.5000, 0.0000) x1
Cl (0.5000, 0.0000, 0.5000) x1

Formation energy (no corrections)   -0.29 eV/atom
E   -2.2060 eV per atom

(10)
A plane-wave DFT calculation with PBE was carried out for a geometry-optimized Zn2AuCl structure.

abc: 3.3490 6.1025 7.9853
angles: 90.00 90.00 90.00
Space group Cmmm (No. 65)
One atom of each set of equivalent atoms:
Zn (0.0000, 0.0000, 0.2449) x4
Au (0.0000, 0.5000, 0.0000) x2
Cl (0.0000, 0.5000, 0.5000) x2

Formation energy (no corrections)   -0.15 eV/atom
E   -2.0689 eV per atom

(11)
A plane-wave DFT calculation with PBE was carried out for a geometry-optimized ZnAu2Cl structure.

abc: 6.7054 6.7054 6.7054
angles: 90.00 90.00 90.00
Space group Fm-3m (No. 225)
One atom of each set of equivalent atoms:
Zn (0.0000, 0.0000, 0.0000) x4
Au (0.2500, 0.2500, 0.2500) x8
Cl (0.0000, 0.0000, 0.5000) x4

Formation energy (no corrections)   0.30 eV/atom
E   -2.1153 eV per atom

(12)
A plane-wave DFT calculation with PBE was carried out for a geometry-optimized Zn2AuCl structure.

abc: 4.4350 4.4350 7.5193
angles: 90.00 90.00 90.00
Space group I4/mmm (No. 139)
One atom of each set of equivalent atoms:
Zn (0.0000, 0.5000, 0.2500) x4
Au (0.0000, 0.0000, 0.0000) x2
Cl (0.0000, 0.0000, 0.5000) x2

Formation energy (no corrections)   0.11 eV/atom
E   -1.8081 eV per atom